No. 1
First-principles (PBE) data for a relaxed Tb5Ho4Zr crystal, as listed in the Alexandria database.

a b c (Å): 8.917 8.917 10.768
angles (deg): 106.48 106.48 22.18
Fractional positions:
Tb (0.000, 0.000, 0.000)
Tb (0.295, 0.295, 0.901)
Tb (0.397, 0.397, 0.220)
Tb (0.603, 0.603, 0.780)
Tb (0.705, 0.705, 0.099)
Ho (0.194, 0.194, 0.581)
Ho (0.409, 0.409, 0.687)
Ho (0.591, 0.591, 0.313)
Ho (0.806, 0.806, 0.419)
Zr (0.000, 0.000, 0.500)

Space-group type   C2/m
Energy relative to the elements   117 meV per atom

No. 2
First-principles (PBE) data for a relaxed Tb12Ho5Zr2 crystal, as listed in the Alexandria database.

a b c (Å): 9.754 9.754 9.511
angles (deg): 107.86 107.86 44.45
Fractional positions:
Tb (0.005, 0.005, 0.184)
Tb (0.093, 0.590, 0.993)
Tb (0.098, 0.589, 0.623)
Tb (0.410, 0.907, 0.007)
Tb (0.411, 0.902, 0.377)
Tb (0.482, 0.482, 0.310)
Tb (0.518, 0.518, 0.690)
Tb (0.589, 0.098, 0.623)
Tb (0.590, 0.093, 0.993)
Tb (0.902, 0.411, 0.377)
Tb (0.907, 0.410, 0.007)
Tb (0.995, 0.995, 0.816)
Ho (0.184, 0.184, 0.710)
Ho (0.299, 0.299, 0.290)
Ho (0.500, 0.500, 0.000)
Ho (0.701, 0.701, 0.710)
Ho (0.816, 0.816, 0.290)
Zr (0.176, 0.824, 0.500)
Zr (0.824, 0.176, 0.500)

Space-group type   C2/m
Energy relative to the elements   174 meV per atom

No. 3
First-principles (PBE) data for a relaxed Tb2HoZr crystal, as listed in the Alexandria database.

a b c (Å): 4.872 4.872 4.855
angles (deg): 90.00 90.00 90.00
Fractional positions:
Tb (0.000, 0.500, 0.000)
Tb (0.500, 0.000, 0.000)
Ho (0.000, 0.000, 0.500)
Zr (0.500, 0.500, 0.500)

Space-group type   P4/mmm
Energy relative to the elements   94 meV per atom

No. 4
First-principles (PBE) data for a relaxed Tb4Ho5Zr crystal, as listed in the Alexandria database.

a b c (Å): 3.492 7.023 12.602
angles (deg): 82.02 82.05 89.82
Fractional positions:
Tb (0.096, 0.287, 0.309)
Tb (0.096, 0.809, 0.308)
Tb (0.904, 0.191, 0.692)
Tb (0.904, 0.713, 0.691)
Ho (0.299, 0.898, 0.901)
Ho (0.301, 0.401, 0.899)
Ho (0.500, 0.500, 0.500)
Ho (0.699, 0.599, 0.101)
Ho (0.701, 0.102, 0.099)
Zr (0.500, 0.000, 0.500)

Space-group type   P-1
Energy relative to the elements   41 meV per atom

No. 5
First-principles (PBE) data for a relaxed Tb6Ho2Zr crystal, as listed in the Alexandria database.

a b c (Å): 3.533 3.533 25.907
angles (deg): 90.00 90.00 120.00
Fractional positions:
Tb (0.000, 0.000, 0.067)
Tb (0.000, 0.000, 0.286)
Tb (0.000, 0.000, 0.714)
Tb (0.000, 0.000, 0.933)
Tb (0.333, 0.667, 0.399)
Tb (0.333, 0.667, 0.601)
Ho (0.333, 0.667, 0.175)
Ho (0.333, 0.667, 0.825)
Zr (0.000, 0.000, 0.500)

Space-group type   P-6m2
Energy relative to the elements   77 meV per atom

No. 6
First-principles (PBE) data for a relaxed Tb2HoZr crystal, as listed in the Alexandria database.

a b c (Å): 5.501 5.501 5.501
angles (deg): 60.00 60.00 60.00
Fractional positions:
Tb (0.250, 0.250, 0.250)
Tb (0.750, 0.750, 0.750)
Ho (0.000, 0.000, 0.000)
Zr (0.500, 0.500, 0.500)

Space-group type   Fm-3m
Energy relative to the elements   214 meV per atom

No. 7
First-principles (PBE) data for a relaxed TbHo2Zr crystal, as listed in the Alexandria database.

a b c (Å): 3.418 6.831 9.859
angles (deg): 90.00 90.00 90.00
Fractional positions:
Tb (0.000, 0.249, 0.000)
Tb (0.000, 0.751, 0.000)
Ho (0.500, 0.000, 0.269)
Ho (0.500, 0.000, 0.731)
Ho (0.500, 0.500, 0.267)
Ho (0.500, 0.500, 0.733)
Zr (0.000, 0.254, 0.500)
Zr (0.000, 0.746, 0.500)

Space-group type   Pmmm
Energy relative to the elements   65 meV per atom

No. 8
First-principles (PBE) data for a relaxed Tb5Ho12Zr2 crystal, as listed in the Alexandria database.

a b c (Å): 9.739 9.739 9.453
angles (deg): 107.84 107.84 44.39
Fractional positions:
Tb (0.000, 0.000, 0.000)
Tb (0.201, 0.201, 0.712)
Tb (0.313, 0.313, 0.289)
Tb (0.687, 0.687, 0.711)
Tb (0.799, 0.799, 0.288)
Ho (0.018, 0.018, 0.691)
Ho (0.090, 0.598, 0.623)
Ho (0.091, 0.594, 0.994)
Ho (0.402, 0.910, 0.377)
Ho (0.406, 0.909, 0.006)
Ho (0.495, 0.495, 0.815)
Ho (0.505, 0.505, 0.185)
Ho (0.594, 0.091, 0.994)
Ho (0.598, 0.090, 0.623)
Ho (0.909, 0.406, 0.006)
Ho (0.910, 0.402, 0.377)
Ho (0.982, 0.982, 0.309)
Zr (0.324, 0.676, 0.500)
Zr (0.676, 0.324, 0.500)

Space-group type   C2/m
Energy relative to the elements   174 meV per atom

No. 9
First-principles (PBE) data for a relaxed Tb12Ho6Zr crystal, as listed in the Alexandria database.

a b c (Å): 9.327 9.327 9.327
angles (deg): 110.91 110.91 110.91
Fractional positions:
Tb (0.054, 0.581, 0.371)
Tb (0.103, 0.155, 0.742)
Tb (0.155, 0.742, 0.103)
Tb (0.258, 0.897, 0.845)
Tb (0.371, 0.054, 0.581)
Tb (0.419, 0.629, 0.946)
Tb (0.581, 0.371, 0.054)
Tb (0.629, 0.946, 0.419)
Tb (0.742, 0.103, 0.155)
Tb (0.845, 0.258, 0.897)
Tb (0.897, 0.845, 0.258)
Tb (0.946, 0.419, 0.629)
Ho (0.208, 0.311, 0.466)
Ho (0.311, 0.466, 0.208)
Ho (0.466, 0.208, 0.311)
Ho (0.534, 0.792, 0.689)
Ho (0.689, 0.534, 0.792)
Ho (0.792, 0.689, 0.534)
Zr (0.000, 0.000, 0.000)

Space-group type   R-3
Energy relative to the elements   31 meV per atom

No. 10
First-principles (PBE) data for a relaxed Tb3Ho4Zr crystal, as listed in the Alexandria database.

a b c (Å): 11.414 11.414 6.698
angles (deg): 107.05 107.05 17.09
Fractional positions:
Tb (0.000, 0.000, 0.000)
Tb (0.120, 0.120, 0.385)
Tb (0.880, 0.880, 0.615)
Ho (0.120, 0.120, 0.853)
Ho (0.258, 0.258, 0.257)
Ho (0.742, 0.742, 0.743)
Ho (0.880, 0.880, 0.147)
Zr (0.500, 0.500, 0.500)

Space-group type   C2/m
Energy relative to the elements   204 meV per atom

No. 11
First-principles (PBE) data for a relaxed Tb7Ho12Zr crystal, as listed in the Alexandria database.

a b c (Å): 9.780 9.780 9.780
angles (deg): 109.47 109.47 109.47
Fractional positions:
Tb (0.000, 0.000, 0.500)
Tb (0.000, 0.500, 0.000)
Tb (0.000, 0.500, 0.500)
Tb (0.500, 0.000, 0.000)
Tb (0.500, 0.000, 0.500)
Tb (0.500, 0.500, 0.000)
Tb (0.500, 0.500, 0.500)
Ho (0.000, 0.219, 0.781)
Ho (0.000, 0.781, 0.219)
Ho (0.219, 0.000, 0.781)
Ho (0.219, 0.219, 0.437)
Ho (0.219, 0.437, 0.219)
Ho (0.219, 0.781, 0.000)
Ho (0.437, 0.219, 0.219)
Ho (0.563, 0.781, 0.781)
Ho (0.781, 0.000, 0.219)
Ho (0.781, 0.219, 0.000)
Ho (0.781, 0.563, 0.781)
Ho (0.781, 0.781, 0.563)
Zr (0.000, 0.000, 0.000)

Space-group type   Im-3m
Energy relative to the elements   772 meV per atom

No. 12
First-principles (PBE) data for a relaxed Tb2Ho3Zr crystal, as listed in the Alexandria database.

a b c (Å): 8.768 8.768 13.910
angles (deg): 115.78 115.78 22.14
Fractional positions:
Tb (0.148, 0.148, 0.468)
Tb (0.322, 0.322, 0.123)
Tb (0.678, 0.678, 0.877)
Tb (0.852, 0.852, 0.532)
Ho (0.099, 0.099, 0.030)
Ho (0.247, 0.247, 0.298)
Ho (0.466, 0.466, 0.780)
Ho (0.534, 0.534, 0.220)
Ho (0.753, 0.753, 0.702)
Ho (0.901, 0.901, 0.970)
Zr (0.066, 0.066, 0.647)
Zr (0.934, 0.934, 0.353)

Space-group type   C2/m
Energy relative to the elements   180 meV per atom

No. 13
First-principles (PBE) data for a relaxed Tb4Ho6Zr crystal, as listed in the Alexandria database.

a b c (Å): 8.686 8.686 8.918
angles (deg): 90.00 90.00 90.00
Fractional positions:
Tb (0.146, 0.354, 0.250)
Tb (0.146, 0.354, 0.750)
Tb (0.354, 0.854, 0.250)
Tb (0.354, 0.854, 0.750)
Tb (0.646, 0.146, 0.250)
Tb (0.646, 0.146, 0.750)
Tb (0.854, 0.646, 0.250)
Tb (0.854, 0.646, 0.750)
Ho (0.000, 0.000, 0.175)
Ho (0.000, 0.000, 0.825)
Ho (0.152, 0.655, 0.500)
Ho (0.155, 0.652, 0.000)
Ho (0.345, 0.152, 0.500)
Ho (0.348, 0.155, 0.000)
Ho (0.500, 0.500, 0.325)
Ho (0.500, 0.500, 0.675)
Ho (0.652, 0.845, 0.000)
Ho (0.655, 0.848, 0.500)
Ho (0.845, 0.348, 0.000)
Ho (0.848, 0.345, 0.500)
Zr (0.000, 0.000, 0.500)
Zr (0.500, 0.500, 0.000)

Space-group type   P4/mnc
Energy relative to the elements   148 meV per atom

No. 14
First-principles (PBE) data for a relaxed Tb3Ho6Zr crystal, as listed in the Alexandria database.

a b c (Å): 10.843 10.843 6.097
angles (deg): 90.00 90.00 119.78
Fractional positions:
Tb (0.114, 0.886, 0.500)
Tb (0.218, 0.444, 0.879)
Tb (0.444, 0.218, 0.379)
Tb (0.556, 0.782, 0.879)
Tb (0.782, 0.556, 0.379)
Tb (0.886, 0.114, 0.000)
Ho (0.041, 0.457, 0.314)
Ho (0.119, 0.206, 0.470)
Ho (0.206, 0.119, 0.970)
Ho (0.226, 0.774, 0.081)
Ho (0.449, 0.551, 0.355)
Ho (0.457, 0.041, 0.814)
Ho (0.543, 0.959, 0.314)
Ho (0.551, 0.449, 0.855)
Ho (0.774, 0.226, 0.581)
Ho (0.794, 0.881, 0.470)
Ho (0.881, 0.794, 0.970)
Ho (0.959, 0.543, 0.814)
Zr (0.291, 0.709, 0.583)
Zr (0.709, 0.291, 0.083)

Space-group type   Cmc2_1
Energy relative to the elements   154 meV per atom

No. 15
First-principles (PBE) data for a relaxed TbHo2Zr crystal, as listed in the Alexandria database.

a b c (Å): 11.444 11.444 11.444
angles (deg): 17.25 17.25 17.25
Fractional positions:
Tb (0.000, 0.000, 0.000)
Ho (0.245, 0.245, 0.245)
Ho (0.755, 0.755, 0.755)
Zr (0.500, 0.500, 0.500)

Space-group type   R-3m
Energy relative to the elements   77 meV per atom

No. 16
First-principles (PBE) data for a relaxed Tb6Ho8Zr crystal, as listed in the Alexandria database.

a b c (Å): 8.512 8.512 8.512
angles (deg): 63.62 63.62 63.62
Fractional positions:
Tb (0.045, 0.720, 0.612)
Tb (0.280, 0.388, 0.955)
Tb (0.388, 0.955, 0.280)
Tb (0.612, 0.045, 0.720)
Tb (0.720, 0.612, 0.045)
Tb (0.955, 0.280, 0.388)
Ho (0.076, 0.076, 0.076)
Ho (0.223, 0.250, 0.610)
Ho (0.250, 0.610, 0.223)
Ho (0.390, 0.777, 0.750)
Ho (0.610, 0.223, 0.250)
Ho (0.750, 0.390, 0.777)
Ho (0.777, 0.750, 0.390)
Ho (0.924, 0.924, 0.924)
Zr (0.500, 0.500, 0.500)

Space-group type   R-3
Energy relative to the elements   126 meV per atom

No. 17
First-principles (PBE) data for a relaxed TbHo2Zr crystal, as listed in the Alexandria database.

a b c (Å): 4.005 4.005 7.226
angles (deg): 90.00 90.00 90.00
Fractional positions:
Tb (0.000, 0.000, 0.000)
Ho (0.500, 0.500, 0.275)
Ho (0.500, 0.500, 0.725)
Zr (0.000, 0.000, 0.500)

Space-group type   P4/mmm
Energy relative to the elements   169 meV per atom

No. 18
First-principles (PBE) data for a relaxed TbHo2Zr crystal, as listed in the Alexandria database.

a b c (Å): 11.332 11.332 11.332
angles (deg): 17.54 17.54 17.54
Fractional positions:
Tb (0.000, 0.000, 0.000)
Ho (0.578, 0.578, 0.578)
Ho (0.754, 0.754, 0.754)
Zr (0.166, 0.166, 0.166)

Space-group type   R3m
Energy relative to the elements   71 meV per atom

No. 19
First-principles (PBE) data for a relaxed Tb8Ho6Zr crystal, as listed in the Alexandria database.

a b c (Å): 9.751 9.751 5.770
angles (deg): 90.00 90.00 120.00
Fractional positions:
Tb (0.052, 0.781, 0.236)
Tb (0.219, 0.271, 0.236)
Tb (0.271, 0.052, 0.764)
Tb (0.333, 0.667, 0.237)
Tb (0.667, 0.333, 0.763)
Tb (0.729, 0.948, 0.236)
Tb (0.781, 0.729, 0.764)
Tb (0.948, 0.219, 0.764)
Ho (0.093, 0.620, 0.748)
Ho (0.380, 0.473, 0.748)
Ho (0.473, 0.093, 0.252)
Ho (0.527, 0.907, 0.748)
Ho (0.620, 0.527, 0.252)
Ho (0.907, 0.380, 0.252)
Zr (0.000, 0.000, 0.500)

Space-group type   P-3
Energy relative to the elements   154 meV per atom

No. 20
First-principles (PBE) data for a relaxed Tb8Ho2Zr crystal, as listed in the Alexandria database.

a b c (Å): 9.291 9.291 7.877
angles (deg): 104.78 104.78 31.00
Fractional positions:
Tb (0.044, 0.044, 0.236)
Tb (0.132, 0.132, 0.676)
Tb (0.321, 0.321, 0.589)
Tb (0.411, 0.411, 0.056)
Tb (0.589, 0.589, 0.944)
Tb (0.679, 0.679, 0.411)
Tb (0.868, 0.868, 0.324)
Tb (0.956, 0.956, 0.764)
Ho (0.226, 0.226, 0.134)
Ho (0.774, 0.774, 0.866)
Zr (0.500, 0.500, 0.500)

Space-group type   C2/m
Energy relative to the elements   44 meV per atom

No. 21
First-principles (PBE) data for a relaxed Tb2HoZr crystal, as listed in the Alexandria database.

a b c (Å): 4.022 4.022 7.199
angles (deg): 90.00 90.00 90.00
Fractional positions:
Tb (0.000, 0.000, 0.226)
Tb (0.000, 0.000, 0.774)
Ho (0.500, 0.500, 0.500)
Zr (0.500, 0.500, 0.000)

Space-group type   P4/mmm
Energy relative to the elements   169 meV per atom